(1)
Be2CdTc | PBE | optimized geometry

Summary:
Calculated total energy = -4.54 eV per atom
Symmetry = P4/mmm
D(E_F) = 2.56 states/eV/f.u.
Crystal system = tetragonal
ρ = 7.6 g cm⁻³

a = 3.963 Å, b = 3.963 Å, c = 3.190 Å
α = 90.00°, β = 90.00°, γ = 90.00°
Sites, in units of the cell vectors:
1 Be 0.000 0.000 0.000
2 Be 0.500 0.500 0.000
3 Cd 0.500 0.000 0.500
4 Tc 0.000 0.500 0.500



(2)
Y3PdPt | PBE | optimized geometry

Summary:
Symmetry = Pm-3m
D(E_F) = 4.62 states/eV/f.u.
Offset from the most stable computed form = 523 meV per atom
Crystal system = cubic
ρ = 6.1 g cm⁻³

a = 5.367 Å, b = 5.367 Å, c = 5.367 Å
α = 90.00°, β = 90.00°, γ = 90.00°
Sites, in units of the cell vectors:
1 Y 0.000 0.500 0.000
2 Y 0.000 0.000 0.500
3 Y 0.500 0.000 0.000
4 Pt 0.000 0.000 0.000
5 Pd 0.500 0.500 0.500



(3)
Cd2S2O7 | PBE | optimized geometry

Summary:
Symmetry = P2_1/c
Formation energy from raw total energies = -23.9 kcal/mol of atoms
Crystal system = monoclinic
ρ = 4.5 g cm⁻³

a = 4.653 Å, b = 5.751 Å, c = 11.363 Å
α = 90.00°, β = 90.00°, γ = 100.43°
Sites, in units of the cell vectors:
1 O 0.000 0.000 0.500
2 O 0.416 0.465 0.188
3 O 0.697 0.879 0.945
4 O 0.303 0.621 0.445
5 O 0.303 0.121 0.055
6 O 0.584 0.035 0.688
7 O 0.416 0.965 0.312
8 O 0.052 0.310 0.704
9 O 0.948 0.690 0.296
10 O 0.584 0.535 0.812
11 O 0.697 0.379 0.555
12 O 0.000 0.500 0.000
13 O 0.052 0.810 0.796
14 O 0.948 0.190 0.204
15 Cd 0.631 0.351 0.357
16 Cd 0.369 0.649 0.643
17 Cd 0.369 0.149 0.857
18 Cd 0.631 0.851 0.143
19 S 0.831 0.183 0.615
20 S 0.169 0.317 0.115
21 S 0.831 0.683 0.885
22 S 0.169 0.817 0.385



- The highest ρ belongs to which entry?
  Be2CdTc



- The highest ρ belongs to which entry?
  Be2CdTc



- ρ of number 1 (Be2CdTc)?
  7.6 g cm⁻³



- Which formula does entry 3 have?
  Cd2S2O7